{"formula": "Mn8Nb3Si", "functional": "SCAN", "state": "single point on PBEsol structure", "cell": [[4.6978, 0.0000, 0.0000], [-2.3489, 4.0684, 0.0000], [0.0000, 0.0000, 7.7328]], "species": ["Mn", "Mn", "Mn", "Mn", "Mn", "Mn", "Mn", "Mn", "Nb", "Nb", "Nb", "Si"], "fractional_positions": [[0.4961, 0.5039, 0.2532], [0.8401, 0.1599, 0.7471], [0.8401, 0.6802, 0.7471], [0.4961, 0.9922, 0.2532], [0.6667, 0.3333, 0.4962], [0.3198, 0.1599, 0.7471], [0.0078, 0.5039, 0.2532], [0.6667, 0.3333, 0.9885], [0.0000, 0.0000, 0.0816], [0.3333, 0.6667, 0.5566], [0.3333, 0.6667, 0.9348], [0.0000, 0.0000, 0.4415]]}

---

{"formula": "Mn3NbSi", "functional": "SCAN", "state": "single point on PBEsol structure", "cell": [[4.0995, 0.0000, 0.0000], [0.0000, 4.0995, 0.0000], [0.0000, 0.0000, 4.0995]], "species": ["Mn", "Mn", "Mn", "Nb", "Si"], "fractional_positions": [[0.5000, 0.0000, 0.0000], [0.0000, 0.5000, 0.0000], [0.0000, 0.0000, 0.5000], [0.5000, 0.5000, 0.5000], [0.0000, 0.0000, 0.0000]]}

---

What are the energy relative to the elements, uncorrected values for these records? In order: -111; 538 meV per atom.
What are the density of states at the Fermi level values for these records? In order: 0.82; 1.07 states/eV/atom.
What are the volume values for these records? In order: 148; 69 Å³ per cell.